Density functional theory data (SCAN) for a crystal of LaTePtPb2 relaxed with PBEsol.

Cell: 5.6846 5.6846 5.8432 Å, 90.00 90.00 90.00°
Closest atoms and distances in Å follow each position.
Atoms (fractional coordinates):
Pt 0.5000 0.5000 0.5000  4 La 4.02, 8 Pb 4.08
Pb 0.5000 0.0000 0.0000  2 Te 2.84
Te 0.0000 0.0000 0.0000  4 Pb 2.84, 2 La 2.92
Pb 0.0000 0.5000 0.0000  2 Te 2.84
La 0.0000 0.0000 0.5000  2 Te 2.92

Properties
energy relative to the elements, uncorrected = 0.59 eV/atom
N(E_F) = 0.813 states/eV/atom
V = 37.76 Å³/atom